# CrTc2Ir

An optimized crystal structure of CrTc2Ir (PBE, Alexandria via LeMat-Bulk).

Lattice parameters (Å, degrees): 4.3100 4.3100 4.3100 60.00 60.00 60.00
Element x y z (fractional)
Cr: 0.0000 0.0000 0.0000
Tc: 0.2500 0.2500 0.2500
Tc: 0.7500 0.7500 0.7500
Ir: 0.5000 0.5000 0.5000

Output
**ρ**: 12.91 g/cm³
**Space-group type**: Fm-3m
**D(E_F)**: 8.48 states/eV/cell
**E_form**: 299 meV/atom

# BaY3B4O12

An optimized crystal structure of BaY3B4O12 (PBE, Alexandria via LeMat-Bulk).

Lattice parameters (Å, degrees): 6.6644 6.6644 6.6644 101.64 101.64 101.64
Element x y z (fractional)
Ba: 0.0000 0.0000 0.0000
Y: 0.0000 0.5448 0.4552
Y: 0.4552 0.0000 0.5448
Y: 0.5448 0.4552 0.0000
B: 0.0455 0.5000 0.9545
B: 0.5000 0.5000 0.5000
B: 0.5000 0.9545 0.0455
B: 0.9545 0.0455 0.5000
O: 0.0216 0.6086 0.8003
O: 0.0895 0.9105 0.5000
O: 0.1997 0.3914 0.9784
O: 0.3654 0.6346 0.5000
O: 0.3914 0.9784 0.1997
O: 0.5000 0.0895 0.9105
O: 0.5000 0.3654 0.6346
O: 0.6086 0.8003 0.0216
O: 0.6346 0.5000 0.3654
O: 0.8003 0.0216 0.6086
O: 0.9105 0.5000 0.0895
O: 0.9784 0.1997 0.3914

Output
**ΔE_f (raw)**: -281 kJ per mole of atoms
**ρ**: 3.86 g/cm³
**Space-group type**: R32
**D(E_F)**: 10.20 states/eV/cell

# KEuSn2

An optimized crystal structure of KEuSn2 (PBE, Alexandria via LeMat-Bulk).

Lattice parameters (Å, degrees): 4.9598 4.9598 4.9734 90.00 90.00 90.00
Element x y z (fractional)
K: 0.0000 0.0000 0.0000
Eu: 0.5000 0.5000 0.0000
Sn: 0.0000 0.5000 0.5000
Sn: 0.5000 0.0000 0.5000

Output
**ρ**: 5.82 g/cm³
**Space-group type**: P4/mmm
**D(E_F)**: 10.24 states/eV/cell
**E_form**: -303 meV/atom

# SrLiHg6

An optimized crystal structure of SrLiHg6 (PBE, Alexandria via LeMat-Bulk).

Lattice parameters (Å, degrees): 5.2101 6.7722 6.7722 60.03 90.00 90.00
Element x y z (fractional)
Sr: 0.0000 0.0000 0.0000
Li: 0.5000 0.6709 0.6709
Hg: 0.0000 0.5057 0.9893
Hg: 0.0000 0.5073 0.5073
Hg: 0.0000 0.9893 0.5057
Hg: 0.5000 0.1764 0.1764
Hg: 0.5000 0.1778 0.6473
Hg: 0.5000 0.6473 0.1778

Output
**ρ**: 10.41 g/cm³
**Space-group type**: Amm2
**D(E_F)**: 3.71 states/eV/cell
**E_form**: -286 meV/atom